Entry 1:
The following is a PBE calculation of a relaxed structure of Mg10Sn3Hg3, from Alexandria via LeMat-Bulk.

Calculated values
The calculation puts the formation energy at -0.152 eV per atom. The symmetry is No. 189.

a b c (Å): 6.159 8.383 8.383
angles (deg): 120.00 90.00 90.00
Sites, in units of the cell vectors:
1 Mg 0.000 0.239 0.000
2 Mg 0.500 0.750 0.000
3 Hg 0.000 0.604 0.000
4 Mg 0.246 0.667 0.333
5 Mg 0.754 0.667 0.333
6 Mg 0.246 0.333 0.667
7 Hg 0.000 0.000 0.604
8 Mg 0.000 0.761 0.761
9 Mg 0.500 0.250 0.250
10 Mg 0.754 0.333 0.667
11 Mg 0.500 0.000 0.750
12 Sn 0.500 0.610 0.610
13 Mg 0.000 0.000 0.239
14 Sn 0.500 0.000 0.390
15 Sn 0.500 0.390 0.000
16 Hg 0.000 0.396 0.396


Entry 2:
The following is a PBE calculation of a relaxed structure of Ta2ReRu, from Alexandria via LeMat-Bulk.

Calculated values
The calculation puts the formation energy at -0.048 eV per atom. The symmetry is No. 216.

a b c (Å): 4.505 4.505 4.505
angles (deg): 60.00 60.00 60.00
Sites, in units of the cell vectors:
1 Ta 0.250 0.250 0.250
2 Re 0.500 0.500 0.500
3 Ta 0.000 0.000 0.000
4 Ru 0.750 0.750 0.750


| no. | final energy (eV/cell) | calculated density (Mg/m³) | N(E_F) (states/eV per atom) |
| --- | --- | --- | --- |
| 1 | -31.29 | 5.32 | 0.410 |
| 2 | -45.62 | 16.68 | 1.075 |